<a>
## Co2AuC2 (PBE)

Data for Co2AuC2 after structural relaxation.

Structure (POSCAR):
```
Co2AuC2
1.0
6.060 0.000 0.000
0.000 6.060 0.000
0.000 0.000 2.856
Co Au C
4 2 4
Direct
0.137 0.363 0.000
0.363 0.863 0.000
0.637 0.137 0.000
0.863 0.637 0.000
0.000 0.000 0.500
0.500 0.500 0.500
0.089 0.589 0.500
0.411 0.089 0.500
0.589 0.911 0.500
0.911 0.411 0.500
```

Output
For the density of states at the Fermi level, the calculation gives 8.3 states/eV per cell. Its space group is P4/mbm.



<b>
## Co2AuC2 (PBE)

Data for Co2AuC2 after structural relaxation.

Structure (POSCAR):
```
Co2AuC2
1.0
-1.797 1.797 3.762
1.797 -1.797 3.762
1.797 1.797 -3.762
Co Au C
2 1 2
Direct
0.250 0.750 0.500
0.750 0.250 0.500
0.000 0.000 0.000
0.397 0.397 0.000
0.603 0.603 0.000
```

Output
For the density of states at the Fermi level, the calculation gives 2.8 states/eV per cell. Its space group is I4/mmm.



Most stable = <b>



<a>
## CrAuC2 (PBE)

Data for CrAuC2 after structural relaxation.

Structure (POSCAR):
```
CrAuC2
1.0
-2.356 2.356 4.550
2.356 -2.356 4.550
2.356 2.356 -4.550
Cr Au C
2 2 4
Direct
0.000 0.000 0.000
0.750 0.250 0.500
0.250 0.750 0.500
0.500 0.500 0.000
0.066 0.625 0.941
0.375 0.316 0.441
0.684 0.125 0.059
0.875 0.934 0.559
```

Output
For the density of states at the Fermi level, the calculation gives 4.9 states/eV per cell. Its space group is I-42d.



<b>
## CrAuC2 (PBE)

Data for CrAuC2 after structural relaxation.

Structure (POSCAR):
```
CrAuC2
1.0
0.000 2.729 2.729
2.729 0.000 2.729
2.729 2.729 0.000
Cr Au C
1 1 2
Direct
0.000 0.000 0.000
0.500 0.500 0.500
0.250 0.250 0.250
0.750 0.750 0.750
```

Output
For the density of states at the Fermi level, the calculation gives 2.2 states/eV per cell. Its space group is Fm-3m.



Most stable = <a>



<a>
## CrAu3C (PBE)

Data for CrAu3C after structural relaxation.

Structure (POSCAR):
```
CrAu3C
1.0
4.827 0.000 0.000
0.000 4.827 0.000
0.000 0.000 4.827
Cr Au C
1 3 1
Direct
0.000 0.000 0.000
0.000 0.000 0.500
0.000 0.500 0.000
0.500 0.000 0.000
0.500 0.500 0.500
```

Output
For the density of states at the Fermi level, the calculation gives 7.2 states/eV per cell. Its space group is Pm-3m.



<b>
## CrAu3C (PBE)

Data for CrAu3C after structural relaxation.

Structure (POSCAR):
```
CrAu3C
1.0
4.351 0.000 0.000
0.000 4.351 0.000
0.000 0.000 4.351
Cr Au C
1 3 1
Direct
0.000 0.000 0.000
0.000 0.500 0.500
0.500 0.000 0.500
0.500 0.500 0.000
0.500 0.500 0.500
```

Output
For the density of states at the Fermi level, the calculation gives 1.5 states/eV per cell. Its space group is Pm-3m.



Most stable = <b>



<a>
## Cr2AuC2 (PBE)

Data for Cr2AuC2 after structural relaxation.

Structure (POSCAR):
```
Cr2AuC2
1.0
-1.856 1.856 4.395
1.856 -1.856 4.395
1.856 1.856 -4.395
Cr Au C
2 1 2
Direct
0.250 0.750 0.500
0.750 0.250 0.500
0.000 0.000 0.000
0.312 0.312 0.000
0.688 0.688 0.000
```

Output
For the density of states at the Fermi level, the calculation gives 4.6 states/eV per cell. Its space group is I4/mmm.



<b>
## Cr2AuC2 (PBE)

Data for Cr2AuC2 after structural relaxation.

Structure (POSCAR):
```
Cr2AuC2
1.0
6.139 0.000 0.000
0.000 6.139 0.000
0.000 0.000 2.722
Cr Au C
4 2 4
Direct
0.132 0.368 0.000
0.368 0.868 0.000
0.632 0.132 0.000
0.868 0.632 0.000
0.000 0.000 0.500
0.500 0.500 0.500
0.131 0.631 0.500
0.369 0.131 0.500
0.631 0.869 0.500
0.869 0.369 0.500
```

Output
For the density of states at the Fermi level, the calculation gives 7.0 states/eV per cell. Its space group is P4/mbm.



Most stable = <a>



<a>
## CrAuC3 (PBE)

Data for CrAuC3 after structural relaxation.

Structure (POSCAR):
```
CrAuC3
1.0
4.038 0.000 0.000
0.000 4.038 0.000
0.000 0.000 4.038
Cr Au C
1 1 3
Direct
0.000 0.000 0.000
0.500 0.500 0.500
0.000 0.500 0.500
0.500 0.000 0.500
0.500 0.500 0.000
```

Output
For the density of states at the Fermi level, the calculation gives 6.8 states/eV per cell. Its space group is Pm-3m.



<b>
## CrAuC3 (PBE)

Data for CrAuC3 after structural relaxation.

Structure (POSCAR):
```
CrAuC3
1.0
3.867 0.000 0.000
0.000 3.867 0.000
0.000 0.000 3.867
Cr Au C
1 1 3
Direct
0.000 0.000 0.000
0.500 0.500 0.500
0.000 0.000 0.500
0.000 0.500 0.000
0.500 0.000 0.000
```

Output
For the density of states at the Fermi level, the calculation gives 1.6 states/eV per cell. Its space group is Pm-3m.



Most stable = <b>



<a>
## Dy3AuC (PBE)

Data for Dy3AuC after structural relaxation.

Structure (POSCAR):
```
Dy3AuC
1.0
4.850 0.000 0.000
0.000 4.850 0.000
0.000 0.000 4.850
Dy Au C
3 1 1
Direct
0.000 0.000 0.500
0.000 0.500 0.000
0.500 0.000 0.000
0.500 0.500 0.500
0.000 0.000 0.000
```

Output
For the density of states at the Fermi level, the calculation gives 6.7 states/eV per cell. Its space group is Pm-3m.



<b>
## Dy3AuC (PBE)

Data for Dy3AuC after structural relaxation.

Structure (POSCAR):
```
Dy3AuC
1.0
8.682 0.000 0.000
0.000 3.637 0.000
0.000 0.000 14.309
Dy Au C
12 4 4
Direct
0.006 0.250 0.101
0.177 0.250 0.527
0.193 0.750 0.309
0.307 0.250 0.809
0.323 0.750 0.027
0.494 0.750 0.601
0.506 0.250 0.399
0.677 0.250 0.973
0.693 0.750 0.191
0.807 0.250 0.691
0.823 0.750 0.473
0.994 0.750 0.899
0.095 0.750 0.687
0.405 0.250 0.187
0.595 0.750 0.813
0.905 0.250 0.313
0.162 0.250 0.953
0.338 0.750 0.453
0.662 0.250 0.547
0.838 0.750 0.047
```

Output
For the density of states at the Fermi level, the calculation gives 19.8 states/eV per cell. Its space group is Pnma.



Most stable = <b>



<a>
## Er3AuC (PBE)

Data for Er3AuC after structural relaxation.

Structure (POSCAR):
```
Er3AuC
1.0
4.799 0.000 0.000
0.000 4.799 0.000
0.000 0.000 4.799
Er Au C
3 1 1
Direct
0.000 0.000 0.500
0.000 0.500 0.000
0.500 0.000 0.000
0.500 0.500 0.500
0.000 0.000 0.000
```

Output
For the density of states at the Fermi level, the calculation gives 5.9 states/eV per cell. Its space group is Pm-3m.



<b>
## Er3AuC (PBE)

Data for Er3AuC after structural relaxation.

Structure (POSCAR):
```
Er3AuC
1.0
8.592 0.000 0.000
0.000 3.604 0.000
0.000 0.000 14.165
Er Au C
12 4 4
Direct
0.005 0.250 0.101
0.177 0.250 0.527
0.193 0.750 0.308
0.307 0.250 0.808
0.323 0.750 0.027
0.495 0.750 0.601
0.505 0.250 0.399
0.677 0.250 0.973
0.693 0.750 0.192
0.807 0.250 0.692
0.823 0.750 0.473
0.995 0.750 0.899
0.094 0.750 0.687
0.406 0.250 0.187
0.594 0.750 0.813
0.906 0.250 0.313
0.162 0.250 0.953
0.338 0.750 0.453
0.662 0.250 0.547
0.838 0.750 0.047
```

Output
For the density of states at the Fermi level, the calculation gives 18.8 states/eV per cell. Its space group is Pnma.



Most stable = <b>



<a>
## AuC3F (PBE)

Data for AuC3F after structural relaxation.

Structure (POSCAR):
```
AuC3F
1.0
4.160 0.000 0.000
0.000 4.160 0.000
0.000 0.000 4.160
Au C F
1 3 1
Direct
0.000 0.000 0.000
0.000 0.000 0.500
0.000 0.500 0.000
0.500 0.000 0.000
0.500 0.500 0.500
```

Output
For the density of states at the Fermi level, the calculation gives 3.9 states/eV per cell. Its space group is Pm-3m.



<b>
## AuC3F (PBE)

Data for AuC3F after structural relaxation.

Structure (POSCAR):
```
AuC3F
1.0
3.812 0.000 0.000
0.000 3.812 0.000
0.000 0.000 3.812
Au C F
1 3 1
Direct
0.000 0.000 0.000
0.000 0.500 0.500
0.500 0.000 0.500
0.500 0.500 0.000
0.500 0.500 0.500
```

Output
For the density of states at the Fermi level, the calculation gives 0.9 states/eV per cell. Its space group is Pm-3m.



Most stable = <a>



<a>
## AuCN2F (PBE)

Data for AuCN2F after structural relaxation.

Structure (POSCAR):
```
AuCN2F
1.0
3.114 0.000 0.000
0.000 3.114 0.000
0.000 0.000 6.174
Au C N F
1 1 2 1
Direct
0.000 0.000 0.000
0.500 0.500 0.500
0.000 0.500 0.500
0.500 0.000 0.500
0.500 0.500 0.000
```

Output
For the density of states at the Fermi level, the calculation gives 3.2 states/eV per cell. Its space group is P4/mmm.



<b>
## AuCN2F (PBE)

Data for AuCN2F after structural relaxation.

Structure (POSCAR):
```
AuCN2F
1.0
4.093 0.000 0.000
0.000 4.093 0.000
0.000 0.000 4.288
Au C N F
1 1 2 1
Direct
0.000 0.000 0.000
0.500 0.500 0.500
0.000 0.500 0.000
0.500 0.000 0.000
0.000 0.000 0.500
```

Output
For the density of states at the Fermi level, the calculation gives 4.2 states/eV per cell. Its space group is P4/mmm.



Most stable = <a>



<a>
## FeAu3C (PBE)

Data for FeAu3C after structural relaxation.

Structure (POSCAR):
```
FeAu3C
1.0
4.317 0.000 0.000
0.000 4.317 0.000
0.000 0.000 4.317
Fe Au C
1 3 1
Direct
0.000 0.000 0.000
0.000 0.500 0.500
0.500 0.000 0.500
0.500 0.500 0.000
0.500 0.500 0.500
```

Output
For the density of states at the Fermi level, the calculation gives 6.3 states/eV per cell. Its space group is Pm-3m.



<b>
## FeAu3C (PBE)

Data for FeAu3C after structural relaxation.

Structure (POSCAR):
```
FeAu3C
1.0
4.729 0.000 0.000
0.000 4.729 0.000
0.000 0.000 4.729
Fe Au C
1 3 1
Direct
0.000 0.000 0.000
0.000 0.000 0.500
0.000 0.500 0.000
0.500 0.000 0.000
0.500 0.500 0.500
```

Output
For the density of states at the Fermi level, the calculation gives 12.1 states/eV per cell. Its space group is Pm-3m.



Most stable = <a>



<a>
## FePAuC2 (PBE)

Data for FePAuC2 after structural relaxation.

Structure (POSCAR):
```
FePAuC2
1.0
3.776 0.000 0.000
1.791 3.393 0.000
0.855 1.419 5.085
Fe P Au C
1 1 1 2
Direct
0.000 0.000 0.000
0.670 0.744 0.823
0.951 0.115 0.472
0.105 0.428 0.089
0.461 0.110 0.046
```

Output
For the density of states at the Fermi level, the calculation gives 1.1 states/eV per cell. Its space group is P1.



<b>
## FePAuC2 (PBE)

Data for FePAuC2 after structural relaxation.

Structure (POSCAR):
```
FePAuC2
1.0
3.721 -1.419 0.000
3.721 1.419 0.000
-1.531 0.000 6.190
Fe P Au C
1 1 1 2
Direct
0.000 0.000 0.000
0.354 0.354 0.676
0.348 0.348 0.285
0.590 0.590 0.852
0.758 0.758 0.776
```

Output
For the density of states at the Fermi level, the calculation gives 1.7 states/eV per cell. Its space group is Cm.



Most stable = <b>



<a>
## FeTcAu2C (PBE)

Data for FeTcAu2C after structural relaxation.

Structure (POSCAR):
```
FeTcAu2C
1.0
4.348 0.000 0.000
0.000 4.348 0.000
0.000 0.000 3.892
Fe Tc Au C
1 1 2 1
Direct
0.000 0.000 0.000
0.500 0.500 0.000
0.000 0.500 0.500
0.500 0.000 0.500
0.000 0.000 0.500
```

Output
For the density of states at the Fermi level, the calculation gives 3.3 states/eV per cell. Its space group is P4/mmm.



<b>
## FeTcAu2C (PBE)

Data for FeTcAu2C after structural relaxation.

Structure (POSCAR):
```
FeTcAu2C
1.0
4.794 0.000 0.000
0.000 4.794 0.000
0.000 0.000 4.259
Fe Tc Au C
1 1 2 1
Direct
0.000 0.000 0.000
0.000 0.000 0.500
0.000 0.500 0.000
0.500 0.000 0.000
0.500 0.500 0.500
```

Output
For the density of states at the Fermi level, the calculation gives 4.0 states/eV per cell. Its space group is P4/mmm.



Most stable = <a>



<a>
## Ge3AuC (PBE)

Data for Ge3AuC after structural relaxation.

Structure (POSCAR):
```
Ge3AuC
1.0
4.340 0.000 0.000
0.000 4.340 0.000
0.000 0.000 4.340
Ge Au C
3 1 1
Direct
0.000 0.000 0.500
0.000 0.500 0.000
0.500 0.000 0.000
0.500 0.500 0.500
0.000 0.000 0.000
```

Output
For the density of states at the Fermi level, the calculation gives 2.4 states/eV per cell. Its space group is Pm-3m.



<b>
## Ge3AuC (PBE)

Data for Ge3AuC after structural relaxation.

Structure (POSCAR):
```
Ge3AuC
1.0
4.974 0.000 0.000
0.000 4.974 0.000
0.000 0.000 4.974
Ge Au C
3 1 1
Direct
0.000 0.000 0.500
0.000 0.500 0.000
0.500 0.000 0.000
0.000 0.000 0.000
0.500 0.500 0.500
```

Output
For the density of states at the Fermi level, the calculation gives 3.9 states/eV per cell. Its space group is Pm-3m.



Most stable = <a>